1.
A plane-wave DFT calculation with PBE was carried out for Rb2Ga3AgF12 after structural relaxation.

Structure (POSCAR):
```
Rb2Ga3AgF12
1.0
7.363 -0.034 -0.024
3.607 6.419 -0.024
3.607 2.100 6.066
F Ga Ag Rb
12 3 1 2
direct
0.888 0.888 0.415
0.289 0.903 0.289
0.415 0.888 0.888
0.711 0.711 0.097
0.903 0.289 0.289
0.112 0.585 0.112
0.289 0.289 0.903
0.711 0.097 0.711
0.112 0.112 0.585
0.888 0.415 0.888
0.585 0.112 0.112
0.097 0.711 0.711
0.000 0.000 0.500
0.000 0.500 0.000
0.500 0.000 0.000
0.000 0.000 0.000
0.380 0.380 0.380
0.620 0.620 0.620
```

Summary:
As for the formation energy (no corrections): -2.5445 eV per atom.

=====

2.
A plane-wave DFT calculation with PBE was carried out for ZnInTe2 after structural relaxation.

Structure (POSCAR):
```
ZnInTe2
1.0
-2.864 2.765 5.368
-5.721 0.657 -3.391
-6.151 -4.110 2.995
Te Zn In
4 2 2
direct
0.169 0.625 0.250
0.375 0.419 0.750
0.581 0.125 0.250
0.875 0.831 0.750
0.500 0.500 0.000
0.250 0.750 0.500
0.750 0.250 0.500
0.000 0.000 0.000
```

Summary:
As for the formation energy (no corrections): -0.2515 eV per atom.

=====

3.
A plane-wave DFT calculation with PBE was carried out for Y2Tc3Os after structural relaxation.

Structure (POSCAR):
```
Y2Tc3Os
1.0
4.699 -0.131 -2.453
-2.987 4.374 -0.241
-0.108 0.202 5.482
Os Y Tc
1 2 3
direct
0.000 0.000 0.000
0.749 0.374 0.123
0.251 0.626 0.877
0.500 0.000 0.500
0.000 0.000 0.500
0.500 0.500 0.500
```

Summary:
The formation energy comes out at -0.184 eV/atom.